(1)
VASP calculation (GGA-PBE) on a relaxed MnSnIr2 crystal.

It has space group P4/mmm (No. 123), with a = 3.054 Å, b = 3.054 Å, c = 6.805 Å, α = 90.00°, β = 90.00° and γ = 90.00°. The distinct sites, in fractional coordinates, are Mn at (0.000, 0.000, 0.000), Sn at (0.000, 0.000, 0.500) and Ir at (0.500, 0.500, 0.235).

Its volume is 15.9 A^3/atom. The value obtained for the formation enthalpy at 0 K is -44 meV per atom.

***

(2)
VASP calculation (GGA-PBE) on a relaxed SrMn3Ir crystal.

It has space group Pm-3m (No. 221), with a = 4.664 Å, b = 4.664 Å, c = 4.664 Å, α = 90.00°, β = 90.00° and γ = 90.00°. The distinct sites, in fractional coordinates, are Sr at (0.000, 0.000, 0.000), Mn at (0.000, 0.000, 0.500) and Ir at (0.500, 0.500, 0.500).

Its volume is 20.3 A^3/atom. The value obtained for the formation enthalpy at 0 K is 2347 meV per atom.

***

(3)
VASP calculation (GGA-PBE) on a relaxed SrMnIr crystal.

It has space group Pm (No. 6), with a = 5.224 Å, b = 3.378 Å, c = 7.938 Å, α = 90.00°, β = 101.28° and γ = 90.00°. The distinct sites, in fractional coordinates, are Sr at (0.000, 0.000, 0.000), Sr at (0.399, 0.000, 0.646), Mn at (0.579, 0.500, 0.309), Mn at (0.829, 0.000, 0.394), Ir at (0.133, 0.500, 0.322) and Ir at (0.886, 0.500, 0.631).

Its volume is 22.9 A^3/atom. The value obtained for the formation enthalpy at 0 K is 265 meV per atom.